## LaPmTm3Sc (PBE)

Data for an optimized crystal structure of LaPmTm3Sc.

abc: 4.996 7.854 9.997
angles: 90.00 90.00 108.55
Sites, in units of the cell vectors:
Sc  0.830  0.659  0.750
Sc  0.170  0.341  0.250
Pm  0.000  0.000  0.500
Pm  0.000  0.000  0.000
Tm  0.330  0.660  0.499
Tm  0.172  0.344  0.750
Tm  0.330  0.660  0.001
Tm  0.828  0.656  0.250
Tm  0.670  0.340  0.999
Tm  0.670  0.340  0.501
La  0.498  0.996  0.750
La  0.502  0.004  0.250

Calculated values
density of states at the Fermi level: 19.75 states/eV/cell
E_form: 0.051 eV per atom
magnetic moment: 0.00 μB/cell